# MgTcPt2

MgTcPt2 after structural relaxation (PBE, Alexandria via LeMat-Bulk).

Lattice parameters (Å, degrees): 4.7486 4.7485 2.7837 90.00 90.00 90.00
Fractional coordinates of all 4 atoms:
Mg  0.0000  0.5000  0.5000
Pt  0.0000  0.0000  0.0000
Pt  0.5000  0.5000  0.0000
Tc  0.5000  0.0000  0.5000

Computed properties:
- formation energy from the elements (eV per atom) = -0.3535